DFT (PBE) results for Ti2Tl3Cl9 after structural relaxation.

Output
The spin magnetization comes out at 0.14 μB/atom. Its uncorrected formation energy is -1354 meV/atom. Its space-group type is No. 167. The value obtained for the total energy is -116.92 eV for the cell shown. The calculated density comes out at 4376 kg/m3. As for the volume: 27.860 Å³ per atom.

Cell: 9.283 9.283 9.283 Å, 82.32 82.32 82.32°
Last column: magnetic moment on the atom in μB.
Fractional coordinates of all 28 atoms:
Cl 0.089 0.250 0.411  0.00
Cl 0.568 0.404 0.238  -0.01
Cl 0.589 0.911 0.750  0.00
Cl 0.432 0.596 0.762  -0.01
Cl 0.404 0.238 0.568  -0.01
Cl 0.911 0.750 0.589  0.00
Cl 0.096 0.932 0.262  -0.01
Cl 0.262 0.096 0.932  -0.01
Cl 0.068 0.738 0.904  -0.01
Cl 0.238 0.568 0.404  -0.01
Cl 0.596 0.762 0.432  -0.01
Cl 0.932 0.262 0.096  -0.01
Cl 0.904 0.068 0.738  -0.01
Cl 0.250 0.411 0.089  0.00
Cl 0.762 0.432 0.596  -0.01
Cl 0.738 0.904 0.068  -0.01
Cl 0.750 0.589 0.911  0.00
Cl 0.411 0.089 0.250  0.00
Tl 0.599 0.250 0.901  0.00
Tl 0.750 0.099 0.401  0.00
Tl 0.250 0.901 0.599  0.00
Tl 0.401 0.750 0.099  0.00
Tl 0.901 0.599 0.250  0.00
Tl 0.099 0.401 0.750  0.00
Ti 0.335 0.335 0.335  0.85
Ti 0.665 0.665 0.665  0.85
Ti 0.165 0.165 0.165  0.85
Ti 0.835 0.835 0.835  0.85